LiTh2Sc | GGA-PBE | optimized geometry

The formation energy is 0.181 eV per atom. The calculation puts the energy relative to the lowest polymorph listed for this composition at 39 meV/atom. The calculation puts the density of states at the Fermi level at 5.5 states/eV per cell. For the total energy, the calculation gives -5.590 eV per atom.

a = 5.5244 Å, b = 5.5244 Å, c = 3.5698 Å
α = 90.00°, β = 90.00°, γ = 90.00°
With the nearest neighbours (Å) after each atom.
Fractional positions:
Li: 0.0000 0.0000 0.0000  8 Th 3.29, 2 Li 3.57
Th: 0.0000 0.5000 0.5000  4 Li 3.29, 4 Sc 3.29, 2 Th 3.57
Th: 0.5000 0.0000 0.5000  4 Li 3.29, 4 Sc 3.29, 2 Th 3.57
Sc: 0.5000 0.5000 0.0000  8 Th 3.29, 2 Sc 3.57

LiTh2Sc | GGA-PBE | optimized geometry

The formation energy is 0.239 eV per atom. The calculation puts the energy relative to the lowest polymorph listed for this composition at 97 meV/atom. The calculation puts the density of states at the Fermi level at 4.6 states/eV per cell. For the total energy, the calculation gives -5.532 eV per atom.

a = 12.3814 Å, b = 12.3814 Å, c = 12.3814 Å
α = 15.62°, β = 15.62°, γ = 15.62°
With the nearest neighbours (Å) after each atom.
Fractional positions:
Li: 0.0000 0.0000 0.0000  2 Th 3.29, 6 Li 3.37
Th: 0.0896 0.0896 0.0896  1 Li 3.29, 6 Th 3.37, 3 Sc 3.43
Th: 0.9104 0.9104 0.9104  1 Li 3.29, 6 Th 3.37, 3 Sc 3.43
Sc: 0.5000 0.5000 0.5000  6 Sc 3.37, 6 Th 3.43

Li4ThSc | GGA-PBE | optimized geometry

The formation energy is 0.211 eV per atom. The calculation puts the density of states at the Fermi level at 6.9 states/eV per cell. For the total energy, the calculation gives -3.356 eV per atom.

a = 5.6814 Å, b = 5.6814 Å, c = 5.6814 Å
α = 60.00°, β = 60.00°, γ = 60.00°
With the nearest neighbours (Å) after each atom.
Fractional positions:
Li: 0.1237 0.1237 0.1237  6 Li 2.81-2.87
Li: 0.1237 0.1237 0.6290  6 Li 2.81-2.87
Li: 0.1237 0.6290 0.1237  6 Li 2.81-2.87
Li: 0.6290 0.1237 0.1237  6 Li 2.81-2.87
Th: 0.5000 0.5000 0.5000  12 Li 3.33, 4 Sc 3.48
Sc: 0.7500 0.7500 0.7500  12 Li 3.33, 4 Th 3.48

LiThSc | GGA-PBE | optimized geometry

The formation energy is 0.131 eV per atom. The calculation puts the energy relative to the lowest polymorph listed for this composition at 51 meV/atom. The calculation puts the density of states at the Fermi level at 2.8 states/eV per cell. For the total energy, the calculation gives -5.090 eV per atom.

a = 6.6109 Å, b = 6.6109 Å, c = 6.6109 Å
α = 149.10°, β = 149.10°, γ = 44.26°
With the nearest neighbours (Å) after each atom.
Fractional positions:
Li: 0.0000 0.0000 0.0000  4 Sc 3.04, 4 Th 3.29
Th: 0.3241 0.3241 0.0000  4 Li 3.29, 4 Sc 3.34, 4 Th 3.52
Sc: 0.6428 0.6428 0.0000  4 Li 3.04, 4 Th 3.34

LiThScTl | GGA-PBE | optimized geometry

The formation energy is -0.005 eV per atom. The calculation puts the density of states at the Fermi level at 3.8 states/eV per cell. For the total energy, the calculation gives -4.513 eV per atom.

a = 5.2335 Å, b = 5.2335 Å, c = 5.2335 Å
α = 60.00°, β = 60.00°, γ = 60.00°
With the nearest neighbours (Å) after each atom.
Fractional positions:
Li: 0.0000 0.0000 0.0000  4 Th 3.20, 4 Sc 3.20
Th: 0.7500 0.7500 0.7500  4 Tl 3.20, 4 Li 3.20
Sc: 0.2500 0.2500 0.2500  4 Tl 3.20, 4 Li 3.20
Tl: 0.5000 0.5000 0.5000  4 Th 3.20, 4 Sc 3.20

LiThScV | GGA-PBE | optimized geometry

The formation energy is 0.233 eV per atom. The calculation puts the density of states at the Fermi level at 3.9 states/eV per cell. For the total energy, the calculation gives -5.963 eV per atom.

a = 4.9745 Å, b = 4.9745 Å, c = 4.9745 Å
α = 60.00°, β = 60.00°, γ = 60.00°
With the nearest neighbours (Å) after each atom.
Fractional positions:
Li: 0.0000 0.0000 0.0000  4 Sc 3.05, 4 Th 3.05
Th: 0.2500 0.2500 0.2500  4 Li 3.05, 4 V 3.05
Sc: 0.7500 0.7500 0.7500  4 Li 3.05, 4 V 3.05
V: 0.5000 0.5000 0.5000  4 Sc 3.05, 4 Th 3.05